Li3Mn4P6O24 after structural relaxation, computed with GGA+U.

a = 8.720 Å, b = 8.720 Å, c = 6.239 Å
α = 105.17°, β = 105.17°, γ = 95.38°
Fractional positions:
Li: 0.000 0.000 0.000
Li: 0.501 0.462 0.256
Li: 0.538 0.499 0.744
Mn: 0.061 0.378 0.386
Mn: 0.372 0.062 0.880
Mn: 0.622 0.939 0.614
Mn: 0.938 0.628 0.120
P: 0.152 0.341 0.897
P: 0.275 0.725 0.500
P: 0.339 0.155 0.387
P: 0.659 0.848 0.103
P: 0.724 0.276 0.000
P: 0.845 0.661 0.613
O: 0.037 0.357 0.671
O: 0.061 0.405 0.083
O: 0.156 0.166 0.340
O: 0.156 0.745 0.278
O: 0.158 0.159 0.868
O: 0.249 0.552 0.525
O: 0.255 0.844 0.722
O: 0.321 0.435 0.970
O: 0.352 0.032 0.164
O: 0.397 0.068 0.579
O: 0.440 0.320 0.452
O: 0.448 0.751 0.475
O: 0.551 0.252 0.026
O: 0.565 0.679 0.030
O: 0.595 0.939 0.917
O: 0.643 0.963 0.329
O: 0.680 0.560 0.548
O: 0.743 0.156 0.779
O: 0.748 0.449 0.974
O: 0.834 0.844 0.660
O: 0.841 0.842 0.132
O: 0.844 0.257 0.221
O: 0.932 0.603 0.421
O: 0.968 0.648 0.836

Properties
**Density of states at the Fermi level**: 9.8 states/eV/cell
**Offset from the most stable computed form**: 0.058 eV per atom